(1)
Entry from Alexandria via LeMat-Bulk: an optimized crystal structure of TaNi3Pd (PBE).

a = 4.470 Å, b = 4.470 Å, c = 4.470 Å
α = 90.00°, β = 90.00°, γ = 90.00°
Space group Pm-3m (No. 221)
Asymmetric unit:
Ta 0.000 0.000 0.000 (multiplicity 1)
Ni 0.000 0.000 0.500 (multiplicity 3)
Pd 0.500 0.500 0.500 (multiplicity 1)

Energy above the most stable polymorph in this dataset in kJ per mole of atoms: 132.2
Spin magnetization in Bohr magnetons per cell: 0.0
Formation energy from the elements in eV/atom: 1.242
Density in g/cm3: 8.62

***

(2)
Entry from Alexandria via LeMat-Bulk: an optimized crystal structure of Ta3NiPd (PBE).

a = 4.567 Å, b = 4.567 Å, c = 4.567 Å
α = 90.00°, β = 90.00°, γ = 90.00°
Space group Pm-3m (No. 221)
Asymmetric unit:
Ta 0.000 0.000 0.500 (multiplicity 3)
Ni 0.000 0.000 0.000 (multiplicity 1)
Pd 0.500 0.500 0.500 (multiplicity 1)

Energy above the most stable polymorph in this dataset in kJ per mole of atoms: 0.0
Spin magnetization in Bohr magnetons per cell: 0.0
Formation energy from the elements in eV/atom: 0.812
Density in g/cm3: 12.34

***

Look up the energy above the most stable polymorph in this dataset of the second one.
0.0 kJ per mole of atoms